[1]
Material: BaLiY2
Method: DFT, PBE
State: relaxed

Values from the calculation:
* relative energy among the computed polymorphs: 0.153 eV/atom
* total magnetic moment: 0.92 Bohr magnetons per cell
* space-group type: R-3m, No. 166
* formation energy from the elements: 0.290 eV/atom

Geometry as extended XYZ:
```
12
Lattice="3.668 0.000 0.000 -1.834 3.176 0.000 0.000 0.000 35.513" Properties=species:S:1:pos:R:3 pbc="T T T"
Ba 0.000 0.000 0.000
Ba 0.000 2.117 23.676
Ba 1.834 1.059 11.838
Li 0.000 0.000 17.757
Li 0.000 2.117 5.919
Li 1.834 1.059 29.594
Y 0.000 0.000 8.518
Y 0.000 0.000 26.996
Y 0.000 2.117 15.158
Y 0.000 2.117 32.193
Y 1.834 1.059 3.320
Y 1.834 1.059 20.355
```

[2]
Material: BaLiY2
Method: DFT, PBE
State: relaxed

Values from the calculation:
* relative energy among the computed polymorphs: 0.241 eV/atom
* total magnetic moment: 0.00 Bohr magnetons per cell
* space-group type: Fm-3m, No. 225
* formation energy from the elements: 0.378 eV/atom

Geometry as extended XYZ:
```
16
Lattice="8.180 0.000 0.000 0.000 8.180 0.000 0.000 0.000 8.180" Properties=species:S:1:pos:R:3 pbc="T T T"
Ba 0.000 0.000 0.000
Ba 0.000 4.090 4.090
Ba 4.090 0.000 4.090
Ba 4.090 4.090 0.000
Li 0.000 0.000 4.090
Li 0.000 4.090 0.000
Li 4.090 0.000 0.000
Li 4.090 4.090 4.090
Y 2.045 2.045 2.045
Y 2.045 2.045 6.135
Y 2.045 6.135 2.045
Y 2.045 6.135 6.135
Y 6.135 2.045 2.045
Y 6.135 2.045 6.135
Y 6.135 6.135 2.045
Y 6.135 6.135 6.135
```

[3]
Material: BaLiY4
Method: DFT, PBE
State: relaxed

Values from the calculation:
* total magnetic moment: 0.03 Bohr magnetons per cell
* space-group type: F-43m, No. 216
* formation energy from the elements: 0.400 eV/atom

Geometry as extended XYZ:
```
6
Lattice="0.000 4.855 4.855 4.855 0.000 4.855 4.855 4.855 0.000" Properties=species:S:1:pos:R:3 pbc="T T T"
Ba 0.000 0.000 0.000
Li 7.283 7.283 7.283
Y 3.650 3.650 3.650
Y 6.061 6.061 3.650
Y 6.061 3.650 6.061
Y 3.650 6.061 6.061
```

[4]
Material: BaLiY2
Method: DFT, PBE
State: relaxed

Values from the calculation:
* relative energy among the computed polymorphs: 0.694 eV/atom
* total magnetic moment: 0.00 Bohr magnetons per cell
* space-group type: I4_1/amd, No. 141
* formation energy from the elements: 0.831 eV/atom

Geometry as extended XYZ:
```
16
Lattice="5.880 0.000 0.000 0.000 5.880 0.000 0.000 0.000 21.796" Properties=species:S:1:pos:R:3 pbc="T T T"
Ba 0.000 1.470 8.173
Ba 0.000 4.410 13.622
Ba 2.940 1.470 2.724
Ba 2.940 4.410 19.071
Li 0.000 1.470 19.071
Li 0.000 4.410 2.724
Li 2.940 1.470 13.622
Li 2.940 4.410 8.173
Y 0.000 0.000 0.000
Y 0.000 2.940 0.000
Y 1.470 1.470 16.347
Y 1.470 4.410 5.449
Y 2.940 0.000 10.898
Y 2.940 2.940 10.898
Y 4.410 1.470 16.347
Y 4.410 4.410 5.449
```